VASP calculation (PBE) on Pm2SmSn3 after structural relaxation.

It has space group C2/c (No. 15), with a = 9.342 Å, b = 14.511 Å, c = 5.872 Å, α = 90.00°, β = 116.06° and γ = 90.00°. The inequivalent atoms are Pm at (0.000, 0.083, 0.250), Pm at (0.000, 0.250, 0.750), Sm at (0.000, 0.417, 0.250), Sn at (0.249, 0.417, 0.001) and Sn at (0.250, 0.250, 0.500).

The formation energy from the elements is -3.864 eV per formula unit.

***

VASP calculation (PBE) on PaCdIn after structural relaxation.

It has space group I4mm (No. 107), with a = 3.107 Å, b = 3.107 Å, c = 14.930 Å, α = 90.00°, β = 90.00° and γ = 90.00°. The inequivalent atoms are Pa at (0.000, 0.000, 0.000), Cd at (0.000, 0.000, 0.670) and In at (0.000, 0.000, 0.331).

The formation energy from the elements is 0.188 eV per formula unit.

***

VASP calculation (PBE) on NpZnIrPd after structural relaxation.

It has space group F-43m (No. 216), with a = 6.576 Å, b = 6.576 Å, c = 6.576 Å, α = 90.00°, β = 90.00° and γ = 90.00°. The inequivalent atoms are Np at (0.000, 0.000, 0.000), Zn at (0.000, 0.000, 0.500), Ir at (0.250, 0.250, 0.750) and Pd at (0.250, 0.250, 0.250).

The formation energy from the elements is -1.035 eV per formula unit.

***

VASP calculation (PBE) on Sc2MnSe after structural relaxation.

It has space group P4mm (No. 99), with a = 3.706 Å, b = 3.706 Å, c = 5.747 Å, α = 90.00°, β = 90.00° and γ = 90.00°. The inequivalent atoms are Sc at (0.000, 0.000, 0.000), Sc at (0.500, 0.500, 0.322), Mn at (0.500, 0.500, 0.826) and Se at (0.000, 0.000, 0.498).

The value obtained for the uncorrected energy is -6.738 eV per atom.

***

VASP calculation (PBE) on Cs2Mn2Re after structural relaxation.

It has space group P4/mbm (No. 127), with a = 8.557 Å, b = 8.557 Å, c = 2.996 Å, α = 90.00°, β = 90.00° and γ = 90.00°. The inequivalent atoms are Cs at (0.136, 0.364, 0.000), Mn at (0.185, 0.685, 0.500) and Re at (0.000, 0.000, 0.000).

The formation energy from the elements is 14.961 eV per formula unit.

***

VASP calculation (PBE) on BaHfCr2 after structural relaxation.

It has space group Fm-3m (No. 225), with a = 7.217 Å, b = 7.217 Å, c = 7.217 Å, α = 90.00°, β = 90.00° and γ = 90.00°. The inequivalent atoms are Ba at (0.000, 0.000, 0.000), Hf at (0.000, 0.000, 0.500) and Cr at (0.250, 0.250, 0.250).

The formation energy from the elements is 4.026 eV per formula unit.

***

VASP calculation (PBE) on K3Ho3NpS8 after structural relaxation.

It has space group R-3m (No. 166, hexagonal axes), with a = 8.0273 Å, b = 8.0273 Å, c = 22.4238 Å, α = 90.00°, β = 90.00° and γ = 120.00°. The inequivalent atoms are K at (0.0000, 0.5000, 0.0000), Ho at (0.0000, 0.5000, 0.5000), Np at (0.0000, 0.0000, 0.5000), S at (0.0000, 0.0000, 0.2331) and S at (0.0043, 0.5021, 0.2316).

The value obtained for the uncorrected energy is -5.967 eV per atom.

***

VASP calculation (PBE) on MnZn2Au after structural relaxation.

It has space group Pmm2 (No. 25), with a = 2.898 Å, b = 3.801 Å, c = 5.604 Å, α = 90.00°, β = 90.00° and γ = 90.00°. The inequivalent atoms are Mn at (0.000, 0.000, 0.000), Zn at (0.000, 0.000, 0.484), Zn at (0.500, 0.500, 0.237) and Au at (0.500, 0.500, 0.743).

The formation energy from the elements is -0.103 eV per formula unit.

***

Number 5 is which compound?
Cs2Mn2Re